#a
Density functional theory data (PBE) for a relaxed structure of Sm3Ho7.

## Properties
- Space-group type: C2/m, No. 12
- Size of the total moment: 0.0 Bohr magnetons per cell

Cell: 9.398 9.398 7.124 Å, 100.90 100.90 30.97°
Atoms (fractional coordinates):
Sm1 0.000 0.000 0.000
Sm2 0.199 0.199 0.600
Sm3 0.801 0.801 0.400
Ho1 0.000 0.000 0.500
Ho2 0.200 0.200 0.100
Ho3 0.400 0.400 0.199
Ho4 0.401 0.401 0.700
Ho5 0.599 0.599 0.300
Ho6 0.600 0.600 0.801
Ho7 0.800 0.800 0.900

#b
Density functional theory data (PBE) for a relaxed structure of Sm3Ho7.

## Properties
- Space-group type: P6_3mc, No. 186
- Size of the total moment: 0.0 Bohr magnetons per cell

Cell: 10.738 10.738 6.460 Å, 90.00 90.00 120.00°
Atoms (fractional coordinates):
Sm1 0.204 0.408 0.000
Sm2 0.204 0.796 0.000
Sm3 0.408 0.204 0.500
Sm4 0.592 0.796 0.000
Sm5 0.796 0.204 0.500
Sm6 0.796 0.592 0.500
Ho1 0.058 0.529 0.657
Ho2 0.121 0.242 0.481
Ho3 0.121 0.879 0.481
Ho4 0.242 0.121 0.981
Ho5 0.333 0.667 0.348
Ho6 0.471 0.529 0.657
Ho7 0.471 0.942 0.657
Ho8 0.529 0.058 0.157
Ho9 0.529 0.471 0.157
Ho10 0.667 0.333 0.848
Ho11 0.758 0.879 0.481
Ho12 0.879 0.121 0.981
Ho13 0.879 0.758 0.981
Ho14 0.942 0.471 0.157

Most favorable first, least favorable last: #a, #b